# CaCdIn2

Crystalline CaCdIn2 at its relaxed geometry (PBE-GGA, Alexandria).

Cell lengths 3.5831, 3.5831, 29.9990 Å; angles 90.00, 90.00, 120.00 degrees
With the nearest neighbours (Å) after each atom.
Space group R-3m (No. 166, hexagonal axes)
Unique sites:
Ca 0.0000 0.0000 0.0000 [3 per cell]  6 In 3.36, 6 Ca 3.58
Cd 0.0000 0.0000 0.5000 [3 per cell]  6 In 3.13
In 0.0000 0.0000 0.2451 [6 per cell]  3 Cd 3.13, 3 Ca 3.36

The calculation puts the uncorrected energy at -0.163 Ry/atom. The calculation puts the spin magnetization at 0.00 μB per atom. Its energy of formation is -0.11 eV/atom. The value obtained for the density of states at the Fermi level is 0.666 states/eV per atom. The volume comes out at 27.80 Å³ per atom.

# U2HgBi5

Crystalline U2HgBi5 at its relaxed geometry (PBE-GGA, Alexandria).

Cell lengths 8.8972, 10.0634, 5.0664 Å; angles 90.00, 90.00, 90.00 degrees
With the nearest neighbours (Å) after each atom.
Space group Cmmm (No. 65)
Unique sites:
U 0.0000 0.2384 0.0000 [4 per cell]  10 Bi 3.35-3.49, 2 Hg 3.65
Hg 0.0000 0.5000 0.5000 [2 per cell]  8 Bi 3.27-3.36, 4 U 3.65
Bi 0.0000 0.0000 0.5000 [2 per cell]  8 Bi 3.36-3.48, 4 U 3.49
Bi 0.2320 0.5000 0.0000 [4 per cell]  2 Hg 3.27, 4 U 3.35-3.38, 6 Bi 3.48-3.57
Bi 0.2500 0.2500 0.5000 [4 per cell]  2 Hg 3.36, 6 Bi 3.36-3.57, 4 U 3.37

The calculation puts the uncorrected energy at -0.385 Ry/atom. The calculation puts the spin magnetization at 0.63 μB per atom. Its energy of formation is 0.04 eV/atom. The value obtained for the density of states at the Fermi level is 1.772 states/eV per atom. The volume comes out at 28.35 Å³ per atom.

# In2TcSn

Crystalline In2TcSn at its relaxed geometry (PBE-GGA, Alexandria).

Cell lengths 3.0838, 3.0838, 34.3928 Å; angles 90.00, 90.00, 120.00 degrees
With the nearest neighbours (Å) after each atom.
Space group R-3m (No. 166, hexagonal axes)
Unique sites:
In 0.0000 0.0000 0.0792 [6 per cell]  1 Tc 2.73
Tc 0.0000 0.0000 0.0000 [3 per cell]  2 In 2.73
Sn 0.0000 0.0000 0.5000 [3 per cell]  6 Sn 3.08

The calculation puts the uncorrected energy at -0.315 Ry/atom. The calculation puts the spin magnetization at 0.34 μB per atom. Its energy of formation is 0.68 eV/atom. The value obtained for the density of states at the Fermi level is 0.700 states/eV per atom. The volume comes out at 23.60 Å³ per atom.

# Sr3Pd5Cl12

Crystalline Sr3Pd5Cl12 at its relaxed geometry (PBE-GGA, Alexandria).

Cell lengths 15.9646, 15.9646, 15.9646 Å; angles 90.00, 90.00, 90.00 degrees
With the nearest neighbours (Å) after each atom.
Space group Ia-3d (No. 230)
Unique sites:
Sr 0.0000 0.2500 0.1250 [24 per cell]  8 Cl 3.03-3.14
Pd 0.0000 0.0000 0.0000 [16 per cell]  6 Cl 2.55
Pd 0.0000 0.2500 0.3750 [24 per cell]  4 Cl 2.46
Cl 0.0247 0.0561 0.6475 [96 per cell]  2 Pd 2.46-2.55

As for the uncorrected formation energy: -1.103 eV/atom. The calculation puts the uncorrected energy at -0.276 Ry/atom. The calculation puts the spin magnetization at 0.00 μB per atom. The value obtained for the density of states at the Fermi level is 0.547 states/eV per atom. The volume comes out at 25.43 Å³ per atom.